First-principles (PBE) data for a relaxed Dy2CdTe crystal, as listed in Alexandria.

Results
Excess energy over the best structure of this formula in the dataset   11 meV per atom
Energy relative to the elements, uncorrected   -0.671 eV per atom

The structure in extended XYZ format:
```
4
Lattice="3.884 0.000 0.000 0.000 3.884 0.000 0.000 0.000 7.019" Properties=species:S:1:pos:R:3 pbc="T T T"
Dy 0.000 0.000 1.751
Dy 0.000 0.000 5.268
Cd 1.942 1.942 3.509
Te 1.942 1.942 0.000
```